The following is a DFT calculation (GGA-PBE) of a geometry-optimized K2CrMo structure.

The value obtained for the total energy is -4.6077 eV per atom. For the energy relative to the lowest polymorph listed for this composition, the calculation gives 194.0 meV/atom. The calculation puts the theoretical density at 3.534 g/cm³. For the density of states at the Fermi level, the calculation gives 0.853 states/eV/atom. The energy relative to the elements is 1.05 eV/atom. The calculation puts the calculated volume at 106.3 Å³ per cell.

Unit cell a=3.187 b=3.187 c=11.733 alpha=90.00 beta=90.00 gamma=116.88
Sites, in units of the cell vectors:
1 Cr 0.500 0.500 0.693
2 K 0.000 0.000 0.946
3 K 0.500 0.500 0.299
4 Mo 0.000 0.000 0.562